The following is a DFT calculation (PBE) of crystalline K4Rb3I3O2 at its relaxed geometry.

a b c (Å): 5.3839 5.6229 15.0511
angles (deg): 100.77 100.30 90.00
Last column: nearest neighbours and their distance in Å.
Atoms (fractional coordinates):
1 K 0.4037 0.9014 0.8027  2 O 2.69
2 K 0.1899 0.1877 0.3753  1 O 2.57
3 K 0.8145 0.8123 0.6247  1 O 2.57
4 K 0.6010 0.0986 0.1973  2 O 2.69
5 Rb 0.0028 0.0000 0.0000  2 O 2.88
6 Rb 0.0988 0.5965 0.1931  2 O 2.81
7 Rb 0.9057 0.4035 0.8069  2 O 2.81
8 I 0.5026 0.5000 0.0000  8 Rb 3.89, 4 K 4.02
9 I 0.3146 0.3125 0.6250  7 K 3.63-3.89, 2 Rb 3.77
10 I 0.6896 0.6875 0.3750  7 K 3.63-3.89, 2 Rb 3.77
11 O 0.1014 0.0992 0.1983  3 K 2.57-2.69, 2 Rb 2.81
12 O 0.9031 0.9008 0.8017  3 K 2.57-2.69, 2 Rb 2.81

Computed properties:
Space group   No. 71
Uncorrected formation energy   -1.264 eV per atom
Total moment   0.000 μB/cell

***

The following is a DFT calculation (PBE) of crystalline TbPm2PuBi4 at its relaxed geometry.

a b c (Å): 4.5517 7.8753 7.8742
angles (deg): 109.42 90.00 90.00
Last column: nearest neighbours and their distance in Å.
Atoms (fractional coordinates):
1 Tb 0.0000 0.0000 0.0000  6 Bi 3.19
2 Pm 0.5000 0.0000 0.5000  6 Bi 3.23-3.24
3 Pm 0.0000 0.5000 0.5000  6 Bi 3.24
4 Pu 0.5000 0.5000 0.0000  6 Bi 3.20
5 Bi 0.5000 0.2476 0.2447  2 Tb 3.19, 1 Pu 3.20, 3 Pm 3.23-3.24
6 Bi 0.5000 0.7524 0.7553  2 Tb 3.19, 1 Pu 3.20, 3 Pm 3.23-3.24
7 Bi 0.0000 0.2509 0.7547  1 Tb 3.19, 2 Pu 3.20, 3 Pm 3.24
8 Bi 0.0000 0.7491 0.2453  1 Tb 3.19, 2 Pu 3.20, 3 Pm 3.24

Computed properties:
Formation enthalpy at 0 K   -0.7651 eV per atom
Space group   No. 10
Total moment   5.125 μB/cell

***

The following is a DFT calculation (PBE) of crystalline Sr3Li2Sm2Tl4 at its relaxed geometry.

a b c (Å): 5.3087 5.3087 14.9176
angles (deg): 90.00 90.00 120.00
Last column: nearest neighbours and their distance in Å.
Atoms (fractional coordinates):
1 Sr 0.0000 0.0000 0.7399  6 Tl 3.40-3.58, 3 Li 3.49
2 Sr 0.0000 0.0000 0.0000  6 Tl 3.68, 6 Li 3.78, 2 Sr 3.88
3 Sr 0.0000 0.0000 0.2601  6 Tl 3.40-3.58, 3 Li 3.49
4 Li 0.6667 0.3333 0.8521  4 Tl 3.07-3.15
5 Li 0.3333 0.6667 0.1479  4 Tl 3.07-3.15
6 Sm 0.6667 0.3333 0.4288  4 Tl 3.17-3.24
7 Sm 0.3333 0.6667 0.5712  4 Tl 3.17-3.24
8 Tl 0.6667 0.3333 0.1361  3 Li 3.07
9 Tl 0.3333 0.6667 0.8639  3 Li 3.07
10 Tl 0.6667 0.3333 0.6412  1 Li 3.15, 4 Sm 3.17-3.24, 3 Sr 3.40
11 Tl 0.3333 0.6667 0.3588  1 Li 3.15, 4 Sm 3.17-3.24, 3 Sr 3.40

Computed properties:
Formation enthalpy at 0 K   -0.1819 eV per atom
Space group   No. 164
Total moment   0.000 μB/cell

***

The following is a DFT calculation (PBE) of crystalline PuMn4B4 at its relaxed geometry.

a b c (Å): 5.1028 5.1028 7.0166
angles (deg): 90.00 90.00 90.00
Last column: nearest neighbours and their distance in Å.
Atoms (fractional coordinates):
1 Pu 0.0000 0.0000 0.0000  12 Mn 2.83-3.03, 12 B 2.90-2.95
2 Pu 0.5000 0.5000 0.5000  12 Mn 2.83-3.03, 12 B 2.90-2.95
3 Mn 0.2580 0.5000 0.8627  5 B 2.10-2.15
4 Mn 0.7420 0.5000 0.8627  5 B 2.10-2.15
5 Mn 0.5000 0.7420 0.1373  5 B 2.10-2.15
6 Mn 0.5000 0.2580 0.1373  5 B 2.10-2.15
7 Mn 0.0000 0.7580 0.3627  5 B 2.10-2.15
8 Mn 0.0000 0.2420 0.3627  5 B 2.10-2.15
9 Mn 0.2420 0.0000 0.6373  5 B 2.10-2.15
10 Mn 0.7580 0.0000 0.6373  5 B 2.10-2.15
11 B 0.5000 0.8308 0.8454  1 B 1.73
12 B 0.5000 0.1692 0.8454  1 B 1.73
13 B 0.8308 0.5000 0.1546  1 B 1.73
14 B 0.1692 0.5000 0.1546  1 B 1.73
15 B 0.3308 0.0000 0.3454  1 B 1.73
16 B 0.6692 0.0000 0.3454  1 B 1.73
17 B 0.0000 0.3308 0.6546  1 B 1.73
18 B 0.0000 0.6692 0.6546  1 B 1.73

Computed properties:
Formation enthalpy at 0 K   -0.3801 eV per atom
Space group   No. 137
Total moment   0.643 μB/cell